(1)
Entry from the Alexandria database: a relaxed TaCrPb2 crystal (PBE).

Results
As for the formation energy: 0.49 eV per atom. The value obtained for the calculated density is 11730 kg/m³. Its crystal system is orthorhombic. For the density of states at the Fermi level, the calculation gives 0.599 states/eV/atom.

Cell lengths 3.0910, 3.0910, 10.3351 Å; angles 90.00, 90.00, 111.87 degrees
Last column: nearest neighbours and their distance in Å.
Atoms (fractional coordinates):
Ta (0.0000, 0.0000, 0.0000)  2 Cr 2.47
Cr (0.5000, 0.5000, 0.8292)  2 Ta 2.47
Pb (0.0000, 0.0000, 0.6047)  2 Cr 2.90, 4 Pb 3.09
Pb (0.5000, 0.5000, 0.2549)  4 Pb 3.09, 2 Ta 3.15



(2)
Entry from the Alexandria database: a relaxed TaCr2Pb crystal (PBE).

Results
As for the formation energy: 0.72 eV per atom. The value obtained for the calculated density is 11785 kg/m³. Its crystal system is cubic. For the density of states at the Fermi level, the calculation gives 1.225 states/eV/atom.

Cell lengths 4.6114, 4.6114, 4.6114 Å; angles 60.00, 60.00, 60.00 degrees
Last column: nearest neighbours and their distance in Å.
Atoms (fractional coordinates):
Ta (0.0000, 0.0000, 0.0000)  4 Cr 2.82, 4 Pb 2.82
Cr (0.2500, 0.2500, 0.2500)  4 Cr 2.82, 4 Ta 2.82
Cr (0.5000, 0.5000, 0.5000)  4 Pb 2.82, 4 Cr 2.82
Pb (0.7500, 0.7500, 0.7500)  4 Ta 2.82, 4 Cr 2.82



(3)
Entry from the Alexandria database: a relaxed TaCrPb2 crystal (PBE).

Results
As for the formation energy: 1.00 eV per atom. The value obtained for the calculated density is 11427 kg/m³. Its crystal system is tetragonal. For the density of states at the Fermi level, the calculation gives 0.956 states/eV/atom.

Cell lengths 10.6225, 10.6225, 10.6225 Å; angles 156.65, 156.65, 33.26 degrees
Last column: nearest neighbours and their distance in Å.
Atoms (fractional coordinates):
Ta (0.0000, 0.0000, 0.0000)  4 Pb 2.97, 4 Cr 3.04
Ta (0.7500, 0.2500, 0.5000)  4 Pb 2.97, 4 Cr 3.04
Cr (0.2500, 0.7500, 0.5000)  4 Pb 2.96, 4 Ta 3.04
Cr (0.5000, 0.5000, 0.0000)  4 Pb 2.96, 4 Ta 3.04
Pb (0.1259, 0.6250, 0.0009)  2 Cr 2.96, 2 Ta 2.97, 4 Pb 3.03-3.05
Pb (0.3750, 0.3759, 0.5009)  2 Cr 2.96, 2 Ta 2.97, 4 Pb 3.03-3.05
Pb (0.6241, 0.1250, 0.9991)  2 Cr 2.96, 2 Ta 2.97, 4 Pb 3.03-3.05
Pb (0.8750, 0.8741, 0.4991)  2 Cr 2.96, 2 Ta 2.97, 4 Pb 3.03-3.05